CsHfSc after structural relaxation, computed with PBE-GGA.

Relative energy among the computed polymorphs: 166 meV/atom
Crystal system: cubic

a = 7.157 Å, b = 7.157 Å, c = 7.157 Å
α = 90.00°, β = 90.00°, γ = 90.00°
Atoms (fractional coordinates):
Cs: 0.000 0.000 0.000
Cs: 0.000 0.500 0.500
Cs: 0.500 0.000 0.500
Cs: 0.500 0.500 0.000
Hf: 0.250 0.250 0.750
Hf: 0.250 0.750 0.250
Hf: 0.750 0.250 0.250
Hf: 0.750 0.750 0.750
Sc: 0.250 0.250 0.250
Sc: 0.250 0.750 0.750
Sc: 0.750 0.250 0.750
Sc: 0.750 0.750 0.250

***

Cs2HfScSe6 after structural relaxation, computed with PBE-GGA.

Raw total energy: -49.7 eV/cell
Crystal system: cubic

a = 7.504 Å, b = 7.504 Å, c = 7.504 Å
α = 60.00°, β = 60.00°, γ = 60.00°
Atoms (fractional coordinates):
Cs: 0.250 0.250 0.250
Cs: 0.750 0.750 0.750
Hf: 0.000 0.000 0.000
Sc: 0.500 0.500 0.500
Se: 0.248 0.248 0.752
Se: 0.248 0.752 0.248
Se: 0.248 0.752 0.752
Se: 0.752 0.248 0.248
Se: 0.752 0.248 0.752
Se: 0.752 0.752 0.248

***

CsHfTlSe3 after structural relaxation, computed with PBE-GGA.

Relative energy among the computed polymorphs: 10 meV/atom
Crystal system: monoclinic

a = 8.331 Å, b = 3.994 Å, c = 11.323 Å
α = 90.00°, β = 96.57°, γ = 90.00°
Atoms (fractional coordinates):
Cs: 0.248 0.250 0.474
Cs: 0.752 0.750 0.526
Hf: 0.409 0.750 0.843
Hf: 0.591 0.250 0.157
Tl: 0.045 0.750 0.141
Tl: 0.955 0.250 0.859
Se: 0.135 0.750 0.713
Se: 0.317 0.250 0.986
Se: 0.452 0.750 0.270
Se: 0.548 0.250 0.730
Se: 0.683 0.750 0.014
Se: 0.865 0.250 0.287